No. 1
Material: BiPb3Se4
Method: DFT, PBE-GGA
State: optimized geometry

Summary:
ΔE_f (raw): -459 meV per atom
uncorrected energy: -4.08 eV/atom
M_tot: 0.0 μB per formula unit

```
data_BiPb3Se4
_symmetry_space_group_name_H-M 'I 4/m m m'
_symmetry_Int_Tables_number 139
_symmetry_space_group_name_Hall '-I 4 2'
_cell_length_a 6.2178
_cell_length_b 6.2178
_cell_length_c 12.2957
_cell_angle_alpha 90.00
_cell_angle_beta 90.00
_cell_angle_gamma 90.00
loop_
_atom_site_label
_atom_site_fract_x
_atom_site_fract_y
_atom_site_fract_z
_atom_site_occupancy
Bi1 0.0000 0.0000 0.0000 1
Pb1 0.0000 0.0000 0.5000 1
Pb2 0.0000 0.5000 0.2500 1
Se1 0.0000 0.0000 0.2435 1
Se2 0.0000 0.5000 0.0000 1
```

=====

No. 2
Material: Bi3PbSe
Method: DFT, PBE-GGA
State: optimized geometry

Summary:
ΔE_f (raw): 964 meV per atom
uncorrected energy: -2.80 eV/atom
relative energy among the computed polymorphs: 583 meV per atom
M_tot: 0.0 μB per formula unit

```
data_Bi3PbSe
_symmetry_space_group_name_H-M 'P m -3 m'
_symmetry_Int_Tables_number 221
_symmetry_space_group_name_Hall '-P 4 2 3'
_cell_length_a 5.8937
_cell_length_b 5.8937
_cell_length_c 5.8937
_cell_angle_alpha 90.00
_cell_angle_beta 90.00
_cell_angle_gamma 90.00
loop_
_atom_site_label
_atom_site_fract_x
_atom_site_fract_y
_atom_site_fract_z
_atom_site_occupancy
Bi1 0.0000 0.0000 0.5000 1
Pb1 0.0000 0.0000 0.0000 1
Se1 0.5000 0.5000 0.5000 1
```

=====

No. 3
Material: BiPbSe2
Method: DFT, PBE-GGA
State: optimized geometry

Summary:
ΔE_f (raw): -189 meV per atom
uncorrected energy: -3.83 eV/atom
M_tot: 0.0 μB per formula unit

```
data_BiPbSe2
_symmetry_space_group_name_H-M 'I -4 2 d'
_symmetry_Int_Tables_number 122
_symmetry_space_group_name_Hall 'I -4 2bw'
_cell_length_a 6.1080
_cell_length_b 6.1080
_cell_length_c 16.1049
_cell_angle_alpha 90.00
_cell_angle_beta 90.00
_cell_angle_gamma 90.00
loop_
_atom_site_label
_atom_site_fract_x
_atom_site_fract_y
_atom_site_fract_z
_atom_site_occupancy
Bi1 0.0000 0.0000 0.0000 1
Pb1 0.0000 0.0000 0.5000 1
Se1 0.2346 0.2500 0.1250 1
```